[1]
# Er6Tm2Sc PBE optimized geometry
# ΔH_f (0 K) ... 106 meV/atom
# Density of states at the Fermi level ... 53.14 states/eV/cell
# ρ ... 8.59 Mg/m³
# Distance to the lowest polymorph of the same formula ... 71 meV per atom
# Calculated total energy ... -0.3405 Ry per atom
data_Er6Tm2Sc
_cell_length_a 15.7423
_cell_length_b 11.3511
_cell_length_c 6.0307
_cell_angle_alpha 90.00
_cell_angle_beta 95.75
_cell_angle_gamma 90.00
_space_group_name_H-M_alt 'C 1 2/c 1'
_space_group_IT_number 15
loop_
_space_group_symop_operation_xyz
'x,y,z'
'-x,-y,-z'
'-x,y,-z+1/2'
'x,-y,z+1/2'
'x+1/2,y+1/2,z'
'-x+1/2,-y+1/2,-z'
'-x+1/2,y+1/2,-z+1/2'
'x+1/2,-y+1/2,z+1/2'
loop_
_atom_site_label
_atom_site_type_symbol
_atom_site_fract_x
_atom_site_fract_y
_atom_site_fract_z
Er1 Er 0.0473 0.1438 0.0112
Er2 Er 0.1142 0.3617 0.3249
Er3 Er 0.2088 0.3570 0.8510
Tm1 Tm 0.1690 0.0973 0.5745
Sc1 Sc 0.0000 0.4000 0.7500

[2]
# TbTl2Ga PBE optimized geometry
# ΔH_f (0 K) ... 142 meV/atom
# Density of states at the Fermi level ... 6.38 states/eV/cell
# ρ ... 9.12 Mg/m³
# Distance to the lowest polymorph of the same formula ... 434 meV per atom
# Calculated total energy ... -0.2172 Ry per atom
data_TbTl2Ga
_cell_length_a 3.4716
_cell_length_b 3.4716
_cell_length_c 33.3457
_cell_angle_alpha 90.00
_cell_angle_beta 90.00
_cell_angle_gamma 120.00
_space_group_name_H-M_alt 'R -3 m'
_space_group_IT_number 166
_space_group_name_Hall '-R 3 2"'
loop_
_atom_site_label
_atom_site_type_symbol
_atom_site_fract_x
_atom_site_fract_y
_atom_site_fract_z
Tb1 Tb 0.0000 0.0000 0.0000
Tl1 Tl 0.0000 0.0000 0.0938
Ga1 Ga 0.0000 0.0000 0.5000

[3]
# GaPHPtS PBE optimized geometry
# Density of states at the Fermi level ... 1.64 states/eV/cell
# ρ ... 6.02 Mg/m³
# Distance to the lowest polymorph of the same formula ... 92 meV per atom
# Calculated total energy ... -0.3401 Ry per atom
data_GaPHPtS
_cell_length_a 4.0599
_cell_length_b 3.7026
_cell_length_c 6.0417
_cell_angle_alpha 90.00
_cell_angle_beta 91.59
_cell_angle_gamma 90.00
_space_group_name_H-M_alt 'P 1 m 1'
_space_group_IT_number 6
loop_
_space_group_symop_operation_xyz
'x,y,z'
'x,-y,z'
loop_
_atom_site_label
_atom_site_type_symbol
_atom_site_fract_x
_atom_site_fract_y
_atom_site_fract_z
Ga1 Ga 0.0000 0.0000 0.0000
P1 P 0.4914 0.0000 0.7890
H1 H 0.7075 0.5000 0.3915
Pt1 Pt 0.3846 0.5000 0.5793
S1 S 0.0301 0.5000 0.2528